# AlCdSe2 PBEsol relaxed
data_AlCdSe2
_space_group_name_H-M_alt 'P 1'
_space_group_IT_number 1
_space_group_name_Hall 'P 1'
_cell_length_a 3.172
_cell_length_b 3.172
_cell_length_c 9.026
_cell_angle_alpha 90.00
_cell_angle_beta 90.00
_cell_angle_gamma 109.47
loop_
_atom_site_label
_atom_site_fract_x
_atom_site_fract_y
_atom_site_fract_z
Al1 0.000 0.000 0.513
Se1 0.000 0.000 0.033
Se2 0.500 0.500 0.691
Cd1 0.500 0.500 0.264
# - uncorrected formation energy (kcal/mol of atoms) = 0.6
# - E (eV per atom) = -3.221
# - ρ (g cm⁻³) = 5.8
# - Fermi-level density of states (states/eV per cell) = 1.90
# - excess energy over the best structure of this formula in the dataset (meV/atom) = 452
# - spin magnetization (μB per cell) = 0.00
# - space-group type = Cmm2

# Hf3ScIr PBEsol relaxed
data_Hf3ScIr
_space_group_name_H-M_alt 'P 1'
_space_group_IT_number 1
_space_group_name_Hall 'P 1'
_cell_length_a 4.980
_cell_length_b 4.980
_cell_length_c 4.980
_cell_angle_alpha 90.00
_cell_angle_beta 90.00
_cell_angle_gamma 90.00
loop_
_atom_site_label
_atom_site_fract_x
_atom_site_fract_y
_atom_site_fract_z
Sc1 0.500 0.500 0.500
Ir1 0.000 0.000 0.000
Hf1 0.000 0.500 0.000
Hf2 0.000 0.000 0.500
Hf3 0.500 0.000 0.000
# - E (eV per atom) = -9.388
# - energy of formation (eV/f.u.) = 1.00
# - ρ (g cm⁻³) = 10.4
# - Fermi-level density of states (states/eV per cell) = 7.70
# - spin magnetization (μB per cell) = 0.00
# - space-group type = Pm-3m

# TcWSeN2 PBEsol relaxed
data_TcWSeN2
_space_group_name_H-M_alt 'P 1'
_space_group_IT_number 1
_space_group_name_Hall 'P 1'
_cell_length_a 3.778
_cell_length_b 3.778
_cell_length_c 5.175
_cell_angle_alpha 90.00
_cell_angle_beta 90.00
_cell_angle_gamma 90.00
loop_
_atom_site_label
_atom_site_fract_x
_atom_site_fract_y
_atom_site_fract_z
Se1 0.000 0.000 0.500
Tc1 0.000 0.000 0.000
W1 0.500 0.500 0.500
N1 0.000 0.500 0.000
N2 0.500 0.000 0.000
# - uncorrected formation energy (kcal/mol of atoms) = 26.7
# - E (eV per atom) = -8.036
# - ρ (g cm⁻³) = 8.7
# - Fermi-level density of states (states/eV per cell) = 3.43
# - spin magnetization (μB per cell) = 2.98
# - space-group type = P4/mmm

# Be2Co2Ru PBEsol relaxed
data_Be2Co2Ru
_space_group_name_H-M_alt 'P 1'
_space_group_IT_number 1
_space_group_name_Hall 'P 1'
_cell_length_a 3.651
_cell_length_b 3.651
_cell_length_c 4.572
_cell_angle_alpha 113.53
_cell_angle_beta 113.53
_cell_angle_gamma 90.00
loop_
_atom_site_label
_atom_site_fract_x
_atom_site_fract_y
_atom_site_fract_z
Ru1 0.000 0.000 0.000
Co1 0.364 0.364 0.728
Co2 0.636 0.636 0.272
Be1 0.250 0.750 0.500
Be2 0.750 0.250 0.500
# - E (eV per atom) = -6.390
# - energy of formation (eV/f.u.) = 1.70
# - ρ (g cm⁻³) = 7.8
# - Fermi-level density of states (states/eV per cell) = 5.64
# - excess energy over the best structure of this formula in the dataset (meV/atom) = 493
# - spin magnetization (μB per cell) = 0.00
# - space-group type = I4/mmm

# ZrFe2Pt PBEsol relaxed
data_ZrFe2Pt
_space_group_name_H-M_alt 'P 1'
_space_group_IT_number 1
_space_group_name_Hall 'P 1'
_cell_length_a 3.793
_cell_length_b 3.793
_cell_length_c 4.818
_cell_angle_alpha 113.18
_cell_angle_beta 113.18
_cell_angle_gamma 90.00
loop_
_atom_site_label
_atom_site_fract_x
_atom_site_fract_y
_atom_site_fract_z
Fe1 0.000 0.000 0.000
Fe2 0.750 0.250 0.500
Pt1 0.500 0.500 0.000
Zr1 0.250 0.750 0.500
# - E (eV per atom) = -8.817
# - energy of formation (eV/f.u.) = -1.29
# - ρ (g cm⁻³) = 11.5
# - Fermi-level density of states (states/eV per cell) = 3.99
# - spin magnetization (μB per cell) = 4.28
# - space-group type = I-4m2

# CaMnFe2 PBEsol relaxed
data_CaMnFe2
_space_group_name_H-M_alt 'P 1'
_space_group_IT_number 1
_space_group_name_Hall 'P 1'
_cell_length_a 3.843
_cell_length_b 3.841
_cell_length_c 4.095
_cell_angle_alpha 90.00
_cell_angle_beta 90.00
_cell_angle_gamma 90.00
loop_
_atom_site_label
_atom_site_fract_x
_atom_site_fract_y
_atom_site_fract_z
Ca1 0.500 0.000 0.500
Fe1 0.000 0.000 0.000
Fe2 0.500 0.500 0.000
Mn1 0.000 0.500 0.500
# - E (eV per atom) = -6.714
# - energy of formation (eV/f.u.) = 2.96
# - ρ (g cm⁻³) = 5.7
# - Fermi-level density of states (states/eV per cell) = 4.20
# - spin magnetization (μB per cell) = 8.49
# - space-group type = P4/mmm

Q: Look up the spin magnetization of the sixth one.
A: 8.49 μB per cell

Q: What is the spin magnetization in the third record?
A: 2.98 μB per cell